Entry 1:
The following is a DFT calculation (PBE+U) of crystalline Ni4BiO8 at its relaxed geometry.

## Properties
For the density of states at the Fermi level, the calculation gives 0.216 states/eV per atom. As for the total energy: -63.2 eV/cell.

Cell: 5.849 5.849 6.194 Å, 90.04 118.15 119.99°
Site moments in Bohr magnetons follow the coordinates.
Fractional positions:
Ni 0.000 0.000 0.000  1.75
O 0.993 0.727 0.217  0.06
O 0.553 0.276 0.830  -0.23
O 0.491 0.266 0.217  0.06
O 0.509 0.734 0.783  0.06
Ni 0.000 0.500 0.000  1.11
Bi 0.000 0.500 0.500  0.06
O 0.049 0.775 0.783  0.06
O 0.951 0.225 0.217  0.06
O 0.007 0.273 0.783  0.06
O 0.447 0.724 0.170  -0.23
Ni 0.500 0.500 0.000  1.11
Ni 0.500 0.000 0.000  1.11

***

Entry 2:
The following is a DFT calculation (PBE+U) of crystalline NiBi3O at its relaxed geometry.

## Properties
For the density of states at the Fermi level, the calculation gives 0.629 states/eV per atom. As for the energy above the most stable polymorph in this dataset: 0 meV per atom. As for the total energy: -17.2 eV/cell.

Cell: 4.879 4.879 4.879 Å, 90.00 90.00 90.00°
Site moments in Bohr magnetons follow the coordinates.
Fractional positions:
Bi 0.000 0.500 0.000  -0.01
O 0.000 0.000 0.000  0.00
Ni 0.500 0.500 0.500  0.80
Bi 0.000 0.000 0.500  -0.01
Bi 0.500 0.000 0.000  0.00

***

Entry 3:
The following is a DFT calculation (PBE+U) of crystalline NiBiO2 at its relaxed geometry.

## Properties
For the density of states at the Fermi level, the calculation gives 0.000 states/eV per atom. As for the total energy: -37.1 eV/cell.

Cell: 5.231 5.231 6.024 Å, 64.27 64.27 90.00°
Site moments in Bohr magnetons follow the coordinates.
Fractional positions:
Bi 0.000 0.000 0.000  -0.04
O 0.875 0.848 0.750  0.01
O 0.375 0.402 0.750  0.00
O 0.152 0.625 0.250  0.01
Ni 0.250 0.750 0.500  1.05
Bi 0.750 0.250 0.500  -0.04
Ni 0.500 0.500 0.000  1.05
O 0.598 0.125 0.250  0.01

***

Entry 4:
The following is a DFT calculation (PBE+U) of crystalline NiBiO2 at its relaxed geometry.

## Properties
For the density of states at the Fermi level, the calculation gives 0.000 states/eV per atom. As for the total energy: -38.7 eV/cell.

Cell: 6.261 5.731 7.504 Å, 101.91 48.23 132.21°
Site moments in Bohr magnetons follow the coordinates.
Fractional positions:
Bi 0.748 0.634 0.010  -0.01
O 0.344 0.672 0.059  0.02
O 0.196 0.076 0.645  0.02
Ni 0.270 0.374 0.852  1.01
Ni 0.770 0.374 0.352  1.04
Bi 0.793 0.113 0.694  -0.01
O 0.397 0.197 0.941  0.00
O 0.144 0.551 0.763  0.00

***

Entry 5:
The following is a DFT calculation (PBE+U) of crystalline Ni3BiO at its relaxed geometry.

## Properties
For the density of states at the Fermi level, the calculation gives 0.377 states/eV per atom. As for the energy above the most stable polymorph in this dataset: 0 meV per atom. As for the total energy: -16.0 eV/cell.

Cell: 4.145 4.145 4.145 Å, 90.00 90.00 90.00°
Site moments in Bohr magnetons follow the coordinates.
Fractional positions:
O 0.000 0.000 0.000  -0.02
Ni 0.000 0.000 0.500  0.99
Ni 0.000 0.500 0.000  0.97
Bi 0.500 0.500 0.500  -0.04
Ni 0.500 0.000 0.000  0.87

***

Entry 6:
The following is a DFT calculation (PBE+U) of crystalline Ni3BiO at its relaxed geometry.

## Properties
For the density of states at the Fermi level, the calculation gives 1.045 states/eV per atom. As for the energy above the most stable polymorph in this dataset: 1306 meV per atom. As for the total energy: -9.5 eV/cell.

Cell: 4.996 4.996 4.996 Å, 90.00 90.00 90.00°
Site moments in Bohr magnetons follow the coordinates.
Fractional positions:
Ni 0.000 0.500 0.000  1.15
Ni 0.000 0.000 0.500  1.06
O 0.500 0.500 0.500  1.08
Ni 0.500 0.000 0.000  1.15
Bi 0.000 0.000 0.000  0.16

***

Entry 7:
The following is a DFT calculation (PBE+U) of crystalline Ni2BiO4 at its relaxed geometry.

## Properties
As for the total energy: -71.0 eV/cell.

Cell: 6.531 6.531 6.036 Å, 74.89 79.73 126.47°
Site moments in Bohr magnetons follow the coordinates.
Fractional positions:
Ni 0.373 0.423 0.414  1.77
O 0.928 0.074 0.729  0.11
Ni 0.668 0.121 0.918  1.77
Bi 0.108 0.108 0.000  0.00
Ni 0.039 0.586 0.082  1.77
O 0.350 0.027 0.827  0.07
Bi 0.367 0.867 0.500  0.00
O 0.326 0.689 0.228  0.11
O 0.917 0.554 0.772  0.11
O 0.853 0.177 0.173  0.07
O 0.256 0.127 0.299  0.06
O 0.802 0.656 0.271  0.11
O 0.426 0.555 0.701  0.06
Ni 0.838 0.787 0.586  1.77

***

Entry 8:
The following is a DFT calculation (PBE+U) of crystalline Ni2BiO at its relaxed geometry.

## Properties
For the density of states at the Fermi level, the calculation gives 0.392 states/eV per atom. As for the energy above the most stable polymorph in this dataset: 814 meV per atom. As for the total energy: -10.6 eV/cell.

Cell: 4.226 4.226 4.226 Å, 60.00 60.00 60.00°
Fractional positions:
O 0.000 0.000 0.000
Ni 0.750 0.750 0.750
Ni 0.250 0.250 0.250
Bi 0.500 0.500 0.500

***

Entry 9:
The following is a DFT calculation (PBE+U) of crystalline NiBi12O20 at its relaxed geometry.

## Properties
For the density of states at the Fermi level, the calculation gives 0.525 states/eV per atom. As for the total energy: -185.4 eV/cell.

Cell: 8.863 8.863 8.863 Å, 109.47 109.47 109.47°
Site moments in Bohr magnetons follow the coordinates.
Fractional positions:
Bi 0.672 0.164 0.859  0.01
Bi 0.695 0.836 0.508  0.01
O 0.237 0.357 0.618  0.03
O 0.000 0.212 0.000  0.28
O 0.880 0.261 0.643  0.03
O 0.357 0.618 0.237  0.03
Bi 0.187 0.492 0.328  0.01
O 0.261 0.643 0.880  0.03
Bi 0.164 0.859 0.672  0.01
O 0.212 0.000 0.000  0.28
O 0.643 0.880 0.261  0.03
Bi 0.305 0.813 0.141  0.01
Ni 0.000 0.000 0.000  2.03
O 0.614 0.000 0.000  0.02
O 0.382 0.739 0.619  0.03
O 0.618 0.237 0.357  0.03
Bi 0.492 0.328 0.187  0.01
O 0.000 0.000 0.212  0.28
Bi 0.836 0.508 0.695  0.01
O 0.788 0.788 0.788  0.28
Bi 0.859 0.672 0.164  0.01
Bi 0.508 0.695 0.836  0.01
Bi 0.141 0.305 0.813  0.01
O 0.739 0.619 0.382  0.03
O 0.120 0.763 0.381  0.03
Bi 0.813 0.141 0.305  0.01
O 0.386 0.386 0.386  0.02
O 0.381 0.120 0.763  0.03
O 0.763 0.381 0.120  0.03
O 0.619 0.382 0.739  0.03
O 0.000 0.000 0.614  0.02
O 0.000 0.614 0.000  0.02
Bi 0.328 0.187 0.492  0.01

***

Entry 10:
The following is a DFT calculation (PBE+U) of crystalline NiBi3O at its relaxed geometry.

## Properties
For the density of states at the Fermi level, the calculation gives 0.613 states/eV per atom. As for the energy above the most stable polymorph in this dataset: 393 meV per atom. As for the total energy: -15.2 eV/cell.

Cell: 5.046 5.046 5.046 Å, 90.00 90.00 90.00°
Site moments in Bohr magnetons follow the coordinates.
Fractional positions:
O 0.500 0.500 0.500  0.88
Ni 0.000 0.000 0.000  0.12
Bi 0.500 0.000 0.000  0.05
Bi 0.000 0.500 0.000  0.09
Bi 0.000 0.000 0.500  0.17

***

Entry 11:
The following is a DFT calculation (PBE+U) of crystalline NiBiPO2 at its relaxed geometry.

## Properties
For the density of states at the Fermi level, the calculation gives 0.737 states/eV per atom. As for the energy above the most stable polymorph in this dataset: 0 meV per atom. As for the total energy: -21.9 eV/cell.

Cell: 3.955 3.955 4.517 Å, 90.00 90.00 90.00°
Site moments in Bohr magnetons follow the coordinates.
Fractional positions:
O 0.500 0.000 0.000  -0.20
O 0.000 0.500 0.000  -0.20
Ni 0.000 0.000 0.000  1.25
Bi 0.500 0.500 0.500  0.01
P 0.000 0.000 0.500  -0.09

***

Entry 12:
The following is a DFT calculation (PBE+U) of crystalline NiBiPO2 at its relaxed geometry.

## Properties
For the density of states at the Fermi level, the calculation gives 0.372 states/eV per atom. As for the energy above the most stable polymorph in this dataset: 351 meV per atom. As for the total energy: -20.2 eV/cell.

Cell: 4.099 4.099 5.562 Å, 90.00 90.00 90.00°
Site moments in Bohr magnetons follow the coordinates.
Fractional positions:
Bi 0.000 0.000 0.000  0.00
P 0.000 0.000 0.500  -0.01
Ni 0.500 0.500 0.500  1.59
O 0.500 0.000 0.000  0.01
O 0.000 0.500 0.000  0.01

***

Entry 13:
The following is a DFT calculation (PBE+U) of crystalline PaNi2BiO6 at its relaxed geometry.

## Properties
For the density of states at the Fermi level, the calculation gives 0.000 states/eV per atom. As for the total energy: -67.6 eV/cell.

Cell: 5.558 5.559 5.839 Å, 61.58 61.58 60.00°
Site moments in Bohr magnetons follow the coordinates.
Fractional positions:
Pa 0.313 0.313 0.062  0.03
O 0.159 0.364 0.752  0.06
Ni 0.016 0.016 0.952  1.77
O 0.895 0.627 0.241  0.06
Ni 0.520 0.520 0.440  1.78
Bi 0.806 0.806 0.583  0.00
O 0.238 0.895 0.241  0.06
O 0.364 0.725 0.752  0.06
O 0.725 0.159 0.752  0.06
O 0.627 0.238 0.240  0.06

***

Entry 14:
The following is a DFT calculation (PBE+U) of crystalline Pa2NiBiO8 at its relaxed geometry.

## Properties
For the density of states at the Fermi level, the calculation gives 0.279 states/eV per atom. As for the total energy: -94.5 eV/cell.

Cell: 4.999 5.000 7.065 Å, 90.00 90.00 89.61°
Site moments in Bohr magnetons follow the coordinates.
Fractional positions:
O 0.317 0.317 0.500  0.01
O 0.195 0.804 0.759  0.04
O 0.690 0.690 0.000  0.02
Bi 0.000 0.000 0.500  0.03
O 0.805 0.196 0.241  0.04
Ni 0.000 0.000 0.000  1.80
O 0.805 0.196 0.759  0.04
Pa 0.500 0.500 0.242  0.03
O 0.195 0.804 0.241  0.04
O 0.683 0.683 0.500  0.01
Pa 0.500 0.500 0.758  0.03
O 0.310 0.310 0.000  0.02

***

Entry 15:
The following is a DFT calculation (PBE+U) of crystalline PaNiBiO6 at its relaxed geometry.

## Properties
As for the total energy: -63.0 eV/cell.

Cell: 4.892 5.333 5.333 Å, 120.00 90.00 90.00°
Site moments in Bohr magnetons follow the coordinates.
Fractional positions:
O 0.739 0.339 0.007  0.02
O 0.739 0.993 0.333  0.02
O 0.739 0.667 0.661  0.02
O 0.261 0.993 0.661  0.02
O 0.261 0.667 0.007  0.02
Ni 0.500 0.667 0.333  1.77
O 0.261 0.339 0.333  0.02
Bi 0.500 0.000 0.000  0.00
Pa 0.000 0.333 0.667  0.06

***

Entry 16:
The following is a DFT calculation (PBE+U) of crystalline NiBi2PbO6 at its relaxed geometry.

## Properties
For the density of states at the Fermi level, the calculation gives 0.000 states/eV per atom. As for the total energy: -54.4 eV/cell.

Cell: 5.836 5.840 5.929 Å, 60.48 60.52 60.02°
Site moments in Bohr magnetons follow the coordinates.
Fractional positions:
O 0.965 0.617 0.263  0.02
Pb 0.309 0.309 0.074  0.02
Bi 0.029 0.029 0.912  0.00
O 0.107 0.473 0.752  0.03
O 0.668 0.107 0.752  0.03
Bi 0.526 0.527 0.420  0.00
Ni 0.812 0.812 0.563  1.77
O 0.155 0.965 0.264  0.02
O 0.617 0.155 0.263  0.02
O 0.473 0.668 0.752  0.03

***

Entry 17:
The following is a DFT calculation (PBE+U) of crystalline Ti3NiBi2Pb2O12 at its relaxed geometry.

## Properties
For the density of states at the Fermi level, the calculation gives 0.000 states/eV per atom. As for the total energy: -141.3 eV/cell.

Cell: 6.073 6.020 9.805 Å, 97.28 83.16 53.85°
Site moments in Bohr magnetons follow the coordinates.
Fractional positions:
O 0.574 0.765 0.708  0.03
O 0.075 0.784 0.726  0.01
O 0.621 0.415 0.953  0.04
O 0.070 0.254 0.201  0.00
Bi 0.930 0.007 0.003  0.00
Pb 0.985 0.476 0.511  0.00
O 0.581 0.011 0.459  0.00
O 0.586 0.237 0.207  0.00
Pb 0.480 0.724 0.253  0.00
O 0.096 0.483 0.960  0.03
Bi 0.474 0.209 0.778  0.00
O 0.069 0.009 0.464  0.00
Ti 0.270 0.857 0.617  0.02
Ti 0.767 0.107 0.370  0.00
O 0.564 0.509 0.461  0.00
O 0.070 0.748 0.219  0.00
Ni 0.779 0.583 0.860  1.77
O 0.578 0.998 0.964  0.03
Ti 0.253 0.366 0.120  0.01
O 0.103 0.247 0.703  0.03

***

Entry 18:
The following is a DFT calculation (PBE+U) of crystalline NiBiPdO4 at its relaxed geometry.

## Properties
For the density of states at the Fermi level, the calculation gives 0.398 states/eV per atom. As for the total energy: -73.0 eV/cell.

Cell: 5.997 6.579 6.957 Å, 121.92 90.00 117.11°
Site moments in Bohr magnetons follow the coordinates.
Fractional positions:
O 0.259 0.517 0.703  0.00
O 0.185 0.815 0.158  0.05
O 0.631 0.815 0.158  0.05
Bi 0.500 0.000 0.500  0.00
Bi 0.500 0.000 0.000  0.00
Pd 0.000 0.500 0.500  -0.01
O 0.741 0.483 0.297  0.00
O 0.815 0.185 0.842  0.05
Ni 0.223 0.445 0.973  1.75
Pd 0.500 0.500 0.500  -0.01
Ni 0.777 0.555 0.027  1.75
O 0.369 0.185 0.842  0.05
O 0.741 0.483 0.686  0.00
O 0.259 0.517 0.314  0.00

***

Entry 19:
The following is a DFT calculation (PBE+U) of crystalline PmNi2BiO6 at its relaxed geometry.

## Properties
As for the total energy: -59.3 eV/cell.

Cell: 5.491 5.491 5.781 Å, 61.65 61.64 60.00°
Site moments in Bohr magnetons follow the coordinates.
Fractional positions:
O 0.728 0.159 0.748  0.07
O 0.159 0.365 0.748  0.07
O 0.623 0.239 0.235  0.06
O 0.239 0.903 0.235  0.06
Bi 0.314 0.314 0.059  0.01
O 0.903 0.623 0.235  0.06
Ni 0.015 0.015 0.954  1.78
Ni 0.519 0.519 0.442  1.77
Pm 0.796 0.796 0.611  0.00
O 0.365 0.728 0.748  0.07

***

Entry 20:
The following is a DFT calculation (PBE+U) of crystalline Pm2NiBiO6 at its relaxed geometry.

## Properties
For the density of states at the Fermi level, the calculation gives 0.268 states/eV per atom. As for the total energy: -134.9 eV/cell.

Cell: 5.627 5.927 8.280 Å, 90.00 88.12 90.00°
Site moments in Bohr magnetons follow the coordinates.
Fractional positions:
O 0.706 0.309 0.571  -0.06
Pm 0.027 0.935 0.253  0.00
O 0.317 0.705 0.068  -0.07
O 0.817 0.795 0.568  -0.07
O 0.183 0.205 0.432  -0.07
Bi 0.000 0.500 0.000  -0.09
Ni 0.500 0.000 0.000  1.71
O 0.367 0.944 0.759  -0.07
Bi 0.500 0.000 0.500  -0.09
Pm 0.473 0.435 0.247  0.00
O 0.133 0.444 0.741  -0.07
O 0.633 0.056 0.241  -0.07
Pm 0.527 0.565 0.753  0.00
O 0.867 0.556 0.259  -0.07
Pm 0.973 0.065 0.747  0.00
O 0.294 0.691 0.429  -0.06
O 0.206 0.191 0.071  -0.06
O 0.794 0.809 0.929  -0.06
O 0.683 0.295 0.932  -0.07
Ni 0.000 0.500 0.500  1.71

***

Entry 21:
The following is a DFT calculation (PBE+U) of crystalline NiBi2PtO8 at its relaxed geometry.

## Properties
For the density of states at the Fermi level, the calculation gives 0.240 states/eV per atom. As for the total energy: -65.0 eV/cell.

Cell: 4.785 4.747 6.715 Å, 90.00 90.00 89.58°
Site moments in Bohr magnetons follow the coordinates.
Fractional positions:
O 0.845 0.207 0.758  0.02
Bi 0.500 0.500 0.254  0.01
O 0.845 0.207 0.242  0.02
Bi 0.500 0.500 0.746  0.01
O 0.684 0.721 0.500  0.02
Ni 0.000 0.000 0.500  1.75
O 0.155 0.793 0.242  0.02
O 0.155 0.793 0.758  0.02
Pt 0.000 0.000 0.000  0.03
O 0.326 0.262 0.000  0.02
O 0.316 0.279 0.500  0.02
O 0.674 0.738 0.000  0.02